# 1
# PrAl4Au2

An optimized crystal structure of PrAl4Au2 (PBE-GGA, the Alexandria database).

Geometry as extended XYZ:
```
28
Lattice="17.517 0.000 0.000 0.000 4.421 0.000 0.000 0.000 6.907" Properties=species:S:1:pos:R:3 pbc="T T T"
Pr 2.447 1.105 0.052
Pr 6.311 3.316 3.505
Pr 11.206 1.105 3.402
Pr 15.070 3.316 6.856
Al 0.611 3.316 5.841
Al 1.182 1.105 3.301
Al 3.229 3.316 2.216
Al 3.313 3.316 4.977
Al 5.445 1.105 1.523
Al 5.530 1.105 5.670
Al 7.577 3.316 6.754
Al 8.148 1.105 2.387
Al 9.369 3.316 4.521
Al 9.940 1.105 0.153
Al 11.987 3.316 1.238
Al 12.072 3.316 5.384
Al 14.204 1.105 1.930
Al 14.288 1.105 4.691
Al 16.335 3.316 3.607
Al 16.906 1.105 1.067
Au 0.630 3.316 1.729
Au 3.775 1.105 3.616
Au 4.983 3.316 0.162
Au 8.129 1.105 5.182
Au 9.388 3.316 1.725
Au 12.534 1.105 6.745
Au 13.742 3.316 3.291
Au 16.887 1.105 5.179
```

Output
Crystal system: orthorhombic
Formation energy, meV/atom: -586
Size of the total moment, μB per cell: 0.00
Offset from the most stable computed form, meV/atom: 0

***

# 2
# HfZr2Pa

An optimized crystal structure of HfZr2Pa (PBE-GGA, the Alexandria database).

Geometry as extended XYZ:
```
4
Lattice="4.606 0.000 0.000 0.000 4.606 0.000 0.000 0.000 4.482" Properties=species:S:1:pos:R:3 pbc="T T T"
Hf 0.000 0.000 0.000
Zr 0.000 2.303 2.241
Zr 2.303 0.000 2.241
Pa 2.303 2.303 0.000
```

Output
Crystal system: tetragonal
Formation energy, meV/atom: 142
Size of the total moment, μB per cell: 0.00
Offset from the most stable computed form, meV/atom: 99

***

> Among the records above, which one has the highest formation energy?

HfZr2Pa